# 1
6
Lattice="3.620 -2.089 0.000 3.620 2.089 0.000 -0.027 0.000 7.464" Properties=species:S:1:pos:R:3 comment="MgCuAs, optimized geometry, DFT PBE" total_magnetization_mub_per_fu=0.00 vol_a3_per_atom=18.81 sg="Cm, No. 8" delta_e_f_ev_per_atom=-0.271 pbc="T T T"
Mg 0.000 0.000 0.000
Mg 4.828 0.000 2.381
Cu 2.381 0.000 6.033
Cu 7.209 0.000 4.857
As 2.414 0.000 1.147
As 4.797 0.000 5.004

=====

# 2
4
Lattice="-1.933 1.933 4.015 1.933 -1.933 4.015 1.933 1.933 -4.015" Properties=species:S:1:pos:R:3 comment="MgCu2As, optimized geometry, DFT PBE" total_magnetization_mub_per_fu=0.00 vol_a3_per_atom=15.01 sg="I-4m2, No. 119" delta_e_f_ev_per_atom=-0.056 pbc="T T T"
Mg 0.000 0.000 0.000
Cu 1.933 0.000 2.008
Cu 0.000 0.000 4.015
As 0.000 1.933 2.008

=====

# 3
4
Lattice="0.000 3.138 3.138 3.138 0.000 3.138 3.138 3.138 0.000" Properties=species:S:1:pos:R:3 comment="MgCu2As, optimized geometry, DFT PBE" total_magnetization_mub_per_fu=0.00 vol_a3_per_atom=15.45 sg="F-43m, No. 216" delta_e_f_ev_per_atom=0.019 pbc="T T T"
Mg 0.000 0.000 0.000
Cu 3.138 3.138 3.138
Cu 4.707 4.707 4.707
As 1.569 1.569 1.569

=====

# 4
6
Lattice="3.884 0.000 0.000 0.000 5.053 0.000 -0.005 0.000 5.608" Properties=species:S:1:pos:R:3 comment="MgCuAs, optimized geometry, DFT PBE" total_magnetization_mub_per_fu=0.00 vol_a3_per_atom=18.35 sg="Pm, No. 6" delta_e_f_ev_per_atom=-0.235 pbc="T T T"
Mg 0.000 0.000 0.000
Mg 0.008 2.527 3.566
Cu 1.949 1.294 1.771
Cu 1.949 3.759 1.771
As 0.005 2.527 0.752
As 1.938 0.000 3.743

=====

# 5
4
Lattice="2.998 0.000 0.000 0.000 4.180 0.000 0.000 0.000 5.037" Properties=species:S:1:pos:R:3 comment="MgCu2As, optimized geometry, DFT PBE" total_magnetization_mub_per_fu=0.00 vol_a3_per_atom=15.78 sg="Pmmm, No. 47" delta_e_f_ev_per_atom=-0.091 pbc="T T T"
Mg 0.000 0.000 0.000
Cu 1.499 2.090 1.207
Cu 1.499 2.090 3.830
As 1.499 0.000 2.518

=====

# 6
5
Lattice="4.761 0.000 0.000 0.000 4.761 0.000 0.000 0.000 4.761" Properties=species:S:1:pos:R:3 comment="MgCuAs3, optimized geometry, DFT PBE" total_magnetization_mub_per_fu=0.00 vol_a3_per_atom=21.58 sg="Pm-3m, No. 221" delta_e_f_ev_per_atom=0.409 pbc="T T T"
Mg 0.000 0.000 0.000
Cu 2.381 2.381 2.381
As 0.000 2.381 2.381
As 2.381 0.000 2.381
As 2.381 2.381 0.000

=====

# 7
8
Lattice="-2.003 2.003 8.431 2.003 -2.003 8.431 2.003 2.003 -8.431" Properties=species:S:1:pos:R:3 comment="MgCu2As, optimized geometry, DFT PBE" total_magnetization_mub_per_fu=0.00 vol_a3_per_atom=16.91 sg="I-42d, No. 122" delta_e_f_ev_per_atom=0.036 pbc="T T T"
Mg 0.000 0.000 0.000
Mg 0.000 2.003 4.216
Cu 1.001 -0.804 6.323
Cu 1.199 1.001 2.108
Cu 1.001 2.807 -2.108
Cu 0.804 1.001 10.539
As 2.003 0.000 4.216
As 0.000 0.000 8.431

=====

# 8
4
Lattice="2.875 0.000 0.000 0.000 5.024 0.000 -0.013 0.000 5.041" Properties=species:S:1:pos:R:3 comment="MgCuAs2, optimized geometry, DFT PBE" total_magnetization_mub_per_fu=0.00 vol_a3_per_atom=18.20 sg="Pm, No. 6" delta_e_f_ev_per_atom=-0.012 pbc="T T T"
Mg 0.000 0.000 0.000
Cu 1.428 2.512 2.337
As 1.429 0.000 2.506
As 1.424 2.512 4.847